No. 1
DFT (PBE) results for a relaxed structure of Ta2Nb4Ga3C3.

POSCAR file:
```
Ta2Nb4Ga3C3
1.0
-4.087 -2.111 2.922
1.076 -3.319 4.186
1.462 12.534 6.013
C Ga Nb Ta
6 6 8 4
Direct
0.500 0.000 0.000
0.829 0.336 0.000
0.171 0.664 0.000
0.336 0.829 0.500
0.000 0.500 0.500
0.664 0.171 0.500
0.582 0.748 0.250
0.914 0.086 0.250
0.252 0.418 0.250
0.748 0.582 0.750
0.086 0.914 0.750
0.418 0.252 0.750
0.195 0.032 0.090
0.865 0.697 0.090
0.303 0.135 0.410
0.968 0.805 0.410
0.032 0.195 0.590
0.697 0.865 0.590
0.135 0.303 0.910
0.805 0.968 0.910
0.529 0.361 0.089
0.639 0.471 0.411
0.361 0.529 0.589
0.471 0.639 0.911
```

## Properties
SG	C2/c (15)
crystal system	monoclinic
DFT total energy	-8.926	eV per atom
mass density	9.3	g cm⁻³

No. 2
DFT (PBE) results for a relaxed structure of Rb2WCl6.

POSCAR file:
```
Rb2WCl6
1.0
6.189 -3.579 0.000
6.189 3.579 0.000
-4.125 0.000 5.849
Cl Rb W
6 2 1
Direct
0.757 0.229 0.230
0.229 0.757 0.230
0.236 0.236 0.249
0.764 0.764 0.751
0.771 0.243 0.770
0.243 0.771 0.770
0.748 0.748 0.248
0.252 0.252 0.752
0.000 0.000 0.000
```

## Properties
SG	C2/m (12)
crystal system	monoclinic
DFT total energy	-4.263	eV per atom
mass density	3.6	g cm⁻³

No. 3
DFT (PBE) results for a relaxed structure of CuBAu.

POSCAR file:
```
CuBAu
1.0
-1.889 -2.666 1.916
-3.730 -0.413 -0.509
-1.338 -3.045 -1.812
Au B Cu
1 1 1
Direct
0.500 0.500 0.500
0.250 0.250 0.250
0.000 0.000 0.000
```

## Properties
SG	F-43m (216)
crystal system	cubic
DFT total energy	-4.097	eV per atom
mass density	11.7	g cm⁻³

No. 4
DFT (PBE) results for a relaxed structure of Cd2SiTcP4.

POSCAR file:
```
Cd2SiTcP4
1.0
-2.861 2.861 5.366
2.861 -2.861 5.366
2.861 2.861 -5.366
Cd P Si Tc
2 4 1 1
Direct
0.500 0.500 0.000
0.750 0.250 0.500
0.123 0.674 0.048
0.326 0.374 0.449
0.925 0.877 0.551
0.626 0.075 0.952
0.000 0.000 0.000
0.250 0.750 0.500
```

## Properties
SG	I-4 (82)
crystal system	tetragonal
DFT total energy	-4.951	eV per atom
mass density	4.5	g cm⁻³

> DFT total energy of number 3 (CuBAu)?

-4.097 eV per atom